Entry 1:
Crystalline Rb2NaBr2O6 at its relaxed geometry. Source: Alexandria via LeMat-Bulk, functional PBE-GGA.

Summary:
* VASP energy: -3.91 eV per atom
* formation energy (no corrections): -58 kJ/mol of atoms
* Fermi-level density of states: 3.300 states/eV per cell

a b c (Å): 7.574 7.574 7.574
angles (deg): 47.43 47.43 47.43
Element x y z (fractional)
Rb 0.201 0.201 0.201
Rb 0.799 0.799 0.799
Na 0.000 0.000 0.000
Br 0.392 0.392 0.392
Br 0.608 0.608 0.608
O 0.254 0.254 0.739
O 0.254 0.739 0.254
O 0.261 0.746 0.746
O 0.739 0.254 0.254
O 0.746 0.261 0.746
O 0.746 0.746 0.261



Entry 2:
Crystalline DyScTl at its relaxed geometry. Source: Alexandria via LeMat-Bulk, functional PBE-GGA.

Summary:
* VASP energy: -4.51 eV per atom
* energy above the most stable polymorph in this dataset: 196 meV/atom
* energy of formation from the pure elements: -0.22 eV per formula unit
* Fermi-level density of states: 7.525 states/eV per cell

a b c (Å): 14.457 14.457 14.457
angles (deg): 166.55 166.55 19.06
Element x y z (fractional)
Dy 0.061 0.061 0.000
Dy 0.939 0.939 0.000
Sc 0.212 0.212 0.000
Sc 0.788 0.788 0.000
Tl 0.362 0.362 0.000
Tl 0.638 0.638 0.000



Entry 3:
Crystalline Co5P3 at its relaxed geometry. Source: Alexandria via LeMat-Bulk, functional PBE-GGA.

Summary:
* VASP energy: -6.94 eV per atom
* energy above the most stable polymorph in this dataset: 0 meV/atom
* energy of formation from the pure elements: -3.79 eV per formula unit
* Fermi-level density of states: 9.191 states/eV per cell

a b c (Å): 6.377 6.377 6.377
angles (deg): 99.62 99.62 131.75
Element x y z (fractional)
Co 0.000 0.500 0.500
Co 0.094 0.813 0.139
Co 0.174 0.313 0.718
Co 0.313 0.594 0.139
Co 0.455 0.174 0.861
Co 0.500 0.000 0.500
Co 0.594 0.455 0.282
Co 0.674 0.955 0.861
Co 0.813 0.674 0.718
Co 0.955 0.094 0.282
P 0.096 0.915 0.500
P 0.124 0.124 0.000
P 0.415 0.596 0.500
P 0.596 0.096 0.181
P 0.624 0.624 0.000
P 0.915 0.415 0.819



Entry 4:
Crystalline Rb4Np3RhSe8 at its relaxed geometry. Source: Alexandria via LeMat-Bulk, functional PBE-GGA.

Summary:
* VASP energy: -5.91 eV per atom
* formation energy (no corrections): -101 kJ/mol of atoms
* Fermi-level density of states: 29.456 states/eV per cell

a b c (Å): 9.335 9.335 9.335
angles (deg): 53.07 53.07 53.07
Element x y z (fractional)
Rb 0.000 0.000 0.000
Rb 0.000 0.500 0.500
Rb 0.500 0.000 0.500
Rb 0.500 0.500 0.000
Np 0.000 0.000 0.500
Np 0.000 0.500 0.000
Np 0.500 0.000 0.000
Rh 0.500 0.500 0.500
Se 0.233 0.233 0.233
Se 0.247 0.719 0.719
Se 0.281 0.281 0.753
Se 0.281 0.753 0.281
Se 0.719 0.247 0.719
Se 0.719 0.719 0.247
Se 0.753 0.281 0.281
Se 0.767 0.767 0.767



no.,size of the total moment (μB/f.u.)
1,0.000
2,0.704
3,0.000
4,11.770